1.
Computed, not measured: a relaxed structure of LiNi2Pt2 at the PBEsol level of DFT.

Output
The density of states at the Fermi level comes out at 5.5 states/eV/cell. The value obtained for the total energy is -5.525 eV per atom.

Cell: 3.352 3.352 6.646 Å, 104.61 104.61 90.00°
Fractional coordinates of all 5 atoms:
Ni 0.250 0.750 0.500
Ni 0.750 0.250 0.500
Pt 0.398 0.398 0.795
Pt 0.602 0.602 0.205
Li 0.000 0.000 0.000

=====

2.
Computed, not measured: a relaxed structure of Ta2TcOs at the PBEsol level of DFT.

Output
The density of states at the Fermi level comes out at 2.3 states/eV/cell. The value obtained for the total energy is -12.534 eV per atom.

Cell: 4.457 4.457 4.457 Å, 60.00 60.00 60.00°
Fractional coordinates of all 4 atoms:
Os 0.500 0.500 0.500
Tc 0.000 0.000 0.000
Ta 0.250 0.250 0.250
Ta 0.750 0.750 0.750